Entry 1:
Here is a relaxed ZrTc3 crystal from Alexandria. Energies are from PBE-GGA.

The value obtained for the total DFT energy (no corrections) is -7.0220 eV per atom. For the formation enthalpy at 0 K, the calculation gives 2.89 eV per atom.

It has space group Pm-3m (No. 221), with a = 4.8643 Å, b = 4.8643 Å, c = 4.8643 Å, α = 90.00°, β = 90.00° and γ = 90.00°. The distinct sites, in fractional coordinates, are Zr at (0.0000, 0.0000, 0.0000) and Tc at (0.0000, 0.0000, 0.5000).


Entry 2:
Here is a relaxed Pm4TlTe4 crystal from Alexandria. Energies are from PBE-GGA.

The value obtained for the total DFT energy (no corrections) is -4.9229 eV per atom. For the uncorrected formation energy, the calculation gives -1152 meV/atom.

It has space group C2/m (No. 12), with a = 14.1097 Å, b = 6.2474 Å, c = 9.9745 Å, α = 90.00°, β = 134.93° and γ = 90.00°. The distinct sites, in fractional coordinates, are Pm at (0.0979, 0.0000, 0.4055), Pm at (0.1922, 0.5000, 0.7899), Tl at (0.0000, 0.0000, 0.0000), Te at (0.0973, 0.5000, 0.3861) and Te at (0.2106, 0.0000, 0.8081).


Entry 3:
Here is a relaxed KTl6Cd2 crystal from Alexandria. Energies are from PBE-GGA.

The value obtained for the total DFT energy (no corrections) is -1.9239 eV per atom. For the formation enthalpy at 0 K, the calculation gives -0.02 eV per atom.

It has space group P4/mmm (No. 123), with a = 5.5567 Å, b = 5.5567 Å, c = 9.4683 Å, α = 90.00°, β = 90.00° and γ = 90.00°. The distinct sites, in fractional coordinates, are K at (0.0000, 0.0000, 0.0000), Tl at (0.0000, 0.0000, 0.5000), Tl at (0.0000, 0.5000, 0.2972), Tl at (0.5000, 0.5000, 0.5000) and Cd at (0.5000, 0.5000, 0.1475).


Entry 4:
Here is a relaxed Ac2LaZn crystal from Alexandria. Energies are from PBE-GGA.

Its energy above the lowest structure with this stoichiometry is 1.13 eV/f.u. The value obtained for the total DFT energy (no corrections) is -3.4507 eV per atom. For the formation enthalpy at 0 K, the calculation gives 0.15 eV per atom.

It has space group R3m (No. 160, hexagonal axes), with a = 5.3929 Å, b = 5.3929 Å, c = 18.0812 Å, α = 90.00°, β = 90.00° and γ = 120.00°. The distinct sites, in fractional coordinates, are Ac at (0.0000, 0.0000, 0.0000), Ac at (0.0000, 0.0000, 0.2170), La at (0.0000, 0.0000, 0.4300) and Zn at (0.0000, 0.0000, 0.6229).